A plane-wave DFT calculation with GGA-PBE was carried out for a relaxed Ca2CuHAu crystal.

Results
size of the total moment = 0.00 Bohr magnetons per cell
E = -0.248 Ry/atom
density = 6.12 g cm⁻³

a = 4.9749 Å, b = 4.9749 Å, c = 3.7465 Å
α = 90.00°, β = 90.00°, γ = 90.00°
With the nearest neighbours (Å) after each atom.
Positions (direct):
1 Ca 0.0000 0.5000 0.0000  2 H 2.49
2 Ca 0.5000 0.0000 0.0000  2 H 2.49
3 Cu 0.0000 0.0000 0.5000  2 H 1.87
4 H 0.0000 0.0000 0.0000  2 Cu 1.87
5 Au 0.5000 0.5000 0.5000  8 Ca 3.11

=====

A plane-wave DFT calculation with GGA-PBE was carried out for a relaxed Ca2HfCuAu crystal.

Results
size of the total moment = 0.77 Bohr magnetons per cell
E = -0.278 Ry/atom
density = 6.54 g cm⁻³

a = 5.2083 Å, b = 5.2083 Å, c = 4.8602 Å
α = 90.00°, β = 90.00°, γ = 90.00°
With the nearest neighbours (Å) after each atom.
Positions (direct):
1 Ca 0.0000 0.5000 0.0000  2 Cu 2.60
2 Ca 0.5000 0.0000 0.0000  2 Cu 2.60
3 Hf 0.0000 0.0000 0.5000  8 Ca 3.56, 4 Au 3.68
4 Cu 0.5000 0.5000 0.0000  2 Au 2.43, 4 Ca 2.60
5 Au 0.5000 0.5000 0.5000  2 Cu 2.43

=====

A plane-wave DFT calculation with GGA-PBE was carried out for a relaxed Ca2Cu3HgAu12 crystal.

Results
size of the total moment = 0.00 Bohr magnetons per cell
E = -0.227 Ry/atom
density = 11.57 g cm⁻³

a = 8.0407 Å, b = 8.0407 Å, c = 8.0407 Å
α = 64.90°, β = 64.90°, γ = 64.90°
With the nearest neighbours (Å) after each atom.
Positions (direct):
1 Ca 0.1018 0.1018 0.1018  6 Au 2.88-2.94
2 Ca 0.8982 0.8982 0.8982  6 Au 2.88-2.94
3 Cu 0.0000 0.5000 0.5000  6 Au 2.52-2.54
4 Cu 0.5000 0.0000 0.5000  6 Au 2.52-2.54
5 Cu 0.5000 0.5000 0.0000  6 Au 2.52-2.54
6 Hg 0.5000 0.5000 0.5000  6 Au 2.78
7 Au 0.1036 0.6472 0.6472  1 Cu 2.52, 1 Hg 2.78
8 Au 0.1366 0.1366 0.6113  2 Cu 2.54
9 Au 0.1366 0.6113 0.1366  2 Cu 2.54
10 Au 0.3528 0.3528 0.8964  1 Cu 2.52, 1 Hg 2.78
11 Au 0.3528 0.8964 0.3528  1 Cu 2.52, 1 Hg 2.78
12 Au 0.3887 0.8634 0.8634  2 Cu 2.54
13 Au 0.6113 0.1366 0.1366  2 Cu 2.54
14 Au 0.6472 0.1036 0.6472  1 Cu 2.52, 1 Hg 2.78
15 Au 0.6472 0.6472 0.1036  1 Cu 2.52, 1 Hg 2.78
16 Au 0.8634 0.3887 0.8634  2 Cu 2.54
17 Au 0.8634 0.8634 0.3887  2 Cu 2.54
18 Au 0.8964 0.3528 0.3528  1 Cu 2.52, 1 Hg 2.78